ZnCd3Mo: optimized geometry, PBE.

Properties
Formation enthalpy at 0 K = 489 kJ/mol of formula units
V = 24.33 Å³ per atom
Distance to the lowest polymorph of the same formula = 0 meV per atom

Cell: 4.955 4.955 4.955 Å, 90.00 90.00 90.00°
Space group Pm-3m (No. 221)
Symmetry-distinct sites (fractional):
Zn  0.000  0.000  0.000 [1 per cell]
Cd  0.000  0.000  0.500 [3 per cell]
Mo  0.500  0.500  0.500 [1 per cell]